{
  "formula": "Ti5Sb2Au",
  "functional": "GGA-PBE",
  "state": "relaxed",
  "magmom_total_mub_per_fu": 1.05,
  "e_form_raw_ev_per_fu": -1.006,
  "density_g_cm3": 7.32,
  "lattice_angstrom": [[2.352, -4.818, 0.000], [2.352, 4.818, 0.000], [0.000, 0.000, 13.613]],
  "species": ["Ti", "Ti", "Ti", "Ti", "Ti", "Ti", "Ti", "Ti", "Ti", "Ti", "Sb", "Sb", "Sb", "Sb", "Au", "Au"],
  "frac_coords": [[0.037, 0.963, 0.750], [0.118, 0.882, 0.040], [0.118, 0.882, 0.460], [0.420, 0.580, 0.085], [0.420, 0.580, 0.415], [0.580, 0.420, 0.585], [0.580, 0.420, 0.915], [0.882, 0.118, 0.540], [0.882, 0.118, 0.960], [0.963, 0.037, 0.250], [0.290, 0.710, 0.623], [0.290, 0.710, 0.877], [0.710, 0.290, 0.123], [0.710, 0.290, 0.377], [0.274, 0.726, 0.250], [0.726, 0.274, 0.750]]
}